# GGA-PBE Ho7TlIn4, relaxed
data_Ho7TlIn4
_chemical_formula_sum 'Ho14 Tl2 In8'
_cell_length_a 14.318
_cell_length_b 5.692
_cell_length_c 11.119
_cell_angle_alpha 90.00
_cell_angle_beta 127.37
_cell_angle_gamma 90.00
_space_group_name_H-M_alt 'C 1 2/m 1'
_space_group_IT_number 12
_space_group_name_Hall '-C 2y'
loop_
_atom_site_label
_atom_site_type_symbol
_atom_site_fract_x
_atom_site_fract_y
_atom_site_fract_z
Ho1 Ho 0.000 0.000 0.000
Ho2 Ho 0.071 0.500 0.328
Ho3 Ho 0.158 0.000 0.592
Ho4 Ho 0.215 0.500 0.869
Tl1 Tl 0.000 0.500 0.000
In1 In 0.064 0.000 0.775
In2 In 0.203 0.000 0.340
# formation energy = -0.1328 eV/atom
# ρ = 8.4 g/cm3